Below is a geometry-optimized PtSe3 structure, with properties calculated at the PBE level.

Properties
ΔE_f (raw) ... 0.054 eV/atom
Energy above the most stable polymorph in this dataset ... 0.66 eV/f.u.
D(E_F) ... 0.79 states/eV per atom
Crystal system ... cubic
E ... -4.070 eV/atom

a = 4.670 Å, b = 4.670 Å, c = 4.670 Å
α = 109.48°, β = 109.48°, γ = 109.48°
Element x y z (fractional)
Pt1 0.000 0.000 0.000
Se1 0.500 0.500 0.000
Se2 0.500 0.000 0.500
Se3 0.000 0.500 0.500

=====

Below is a geometry-optimized PtSe structure, with properties calculated at the PBE level.

Properties
ΔE_f (raw) ... 0.050 eV/atom
D(E_F) ... 0.43 states/eV per atom
Crystal system ... cubic
E ... -4.713 eV/atom

a = 6.999 Å, b = 6.999 Å, c = 6.999 Å
α = 90.00°, β = 90.00°, γ = 90.00°
Element x y z (fractional)
Pt1 0.500 0.250 0.000
Pt2 0.000 0.500 0.250
Pt3 0.000 0.500 0.750
Se1 0.000 0.750 0.500
Se2 0.750 0.500 0.000
Pt4 0.500 0.750 0.000
Se3 0.500 0.000 0.250
Se4 0.250 0.500 0.000
Pt5 0.750 0.000 0.500
Se5 0.500 0.000 0.750
Pt6 0.250 0.000 0.500
Se6 0.000 0.250 0.500

=====

Below is a geometry-optimized PtSe2 structure, with properties calculated at the PBE level.

Properties
ΔE_f (raw) ... -0.083 eV/atom
D(E_F) ... 0.38 states/eV per atom
Crystal system ... monoclinic
E ... -4.419 eV/atom

a = 7.240 Å, b = 7.240 Å, c = 7.482 Å
α = 70.11°, β = 70.11°, γ = 29.17°
Element x y z (fractional)
Se1 0.151 0.151 0.402
Pt1 0.621 0.621 0.630
Pt2 0.024 0.024 0.931
Se2 0.401 0.401 0.950
Se3 0.637 0.637 0.957
Se4 0.333 0.333 0.297

=====

Below is a geometry-optimized PtSe3 structure, with properties calculated at the PBE level.

Properties
ΔE_f (raw) ... 0.569 eV/atom
Energy above the most stable polymorph in this dataset ... 2.72 eV/f.u.
D(E_F) ... 1.01 states/eV per atom
Crystal system ... tetragonal
E ... -3.554 eV/atom

a = 4.666 Å, b = 4.666 Å, c = 4.666 Å
α = 117.24°, β = 117.24°, γ = 94.85°
Element x y z (fractional)
Se1 0.750 0.250 0.500
Se2 0.500 0.500 0.000
Se3 0.250 0.750 0.500
Pt1 0.000 0.000 0.000

=====

Below is a geometry-optimized PtSe3 structure, with properties calculated at the PBE level.

Properties
ΔE_f (raw) ... 0.208 eV/atom
Energy above the most stable polymorph in this dataset ... 1.28 eV/f.u.
D(E_F) ... 0.63 states/eV per atom
Crystal system ... hexagonal
E ... -3.915 eV/atom

a = 3.644 Å, b = 3.644 Å, c = 7.269 Å
α = 90.00°, β = 90.00°, γ = 120.00°
Element x y z (fractional)
Pt1 0.000 0.000 0.000
Se1 0.000 0.000 0.500
Se2 0.667 0.333 0.784
Se3 0.667 0.333 0.216

=====

Below is a geometry-optimized PtSe structure, with properties calculated at the PBE level.

Properties
ΔE_f (raw) ... -0.124 eV/atom
D(E_F) ... 0.23 states/eV per atom
Crystal system ... tetragonal
E ... -4.886 eV/atom

a = 9.014 Å, b = 9.014 Å, c = 4.741 Å
α = 90.00°, β = 90.00°, γ = 90.00°
Element x y z (fractional)
Pt1 0.089 0.269 0.500
Se1 0.673 0.154 0.000
Pt2 0.769 0.411 0.000
Se2 0.827 0.346 0.500
Pt3 0.411 0.231 0.000
Pt4 0.269 0.911 0.500
Se3 0.346 0.173 0.500
Se4 0.654 0.827 0.500
Se5 0.846 0.673 0.000
Pt5 0.731 0.089 0.500
Pt6 0.911 0.731 0.500
Se6 0.173 0.654 0.500
Se7 0.154 0.327 0.000
Pt7 0.589 0.769 0.000
Pt8 0.231 0.589 0.000
Se8 0.327 0.846 0.000

=====

Q: Among the records above, which one has the highest E?
A: number 4

=====

Q: D(E_F) of number 1 (PtSe3)?
A: 0.79 states/eV per atom

=====

What did the third record say?
Below is a geometry-optimized PtSe2 structure, with properties calculated at the PBE level.

Properties
ΔE_f (raw) ... -0.083 eV/atom
D(E_F) ... 0.38 states/eV per atom
Crystal system ... monoclinic
E ... -4.419 eV/atom

a = 7.240 Å, b = 7.240 Å, c = 7.482 Å
α = 70.11°, β = 70.11°, γ = 29.17°
Element x y z (fractional)
Se1 0.151 0.151 0.402
Pt1 0.621 0.621 0.630
Pt2 0.024 0.024 0.931
Se2 0.401 0.401 0.950
Se3 0.637 0.637 0.957
Se4 0.333 0.333 0.297